1.
Entry from Alexandria: a geometry-optimized CsYAl3 structure (GGA-PBE).

POSCAR file:
```
CsYAl3
1.0
5.524 0.000 0.000
0.000 5.524 0.000
0.000 0.000 5.524
Cs Y Al
1 1 3
Cartesian
0.000 0.000 0.000
2.762 2.762 2.762
0.000 0.000 2.762
0.000 2.762 0.000
2.762 0.000 0.000
```

Results
Calculated volume ... 33.7 A^3/atom
Energy of formation ... 1499 meV per atom
Total DFT energy (no corrections) ... -0.081 hartree per atom
Theoretical density ... 2.983 Mg/m³
Excess energy over the best structure of this formula in the dataset ... 803 meV/atom
N(E_F) ... 6.0 states/eV/cell

2.
Entry from Alexandria: a geometry-optimized NaPaCdCl6 structure (GGA-PBE).

POSCAR file:
```
NaPaCdCl6
1.0
7.146 0.000 0.000
-3.573 6.189 0.000
0.000 0.000 16.875
Na Pa Cd Cl
2 2 2 12
Cartesian
0.000 4.126 4.219
3.573 2.063 12.656
0.000 4.126 12.656
3.573 2.063 4.219
0.000 0.000 0.000
0.000 0.000 8.437
-1.129 2.350 11.176
-2.102 4.036 14.136
1.129 2.350 14.136
-0.974 5.991 11.176
2.599 0.197 2.739
1.471 2.153 5.699
2.102 4.036 11.176
0.974 5.991 14.136
4.547 0.197 5.699
2.444 3.839 2.739
5.675 2.153 2.739
4.702 3.839 5.699
```

Results
Calculated volume ... 41.5 A^3/atom
Total DFT energy (no corrections) ... -0.151 hartree per atom
Theoretical density ... 2.577 Mg/m³
Formation energy from raw total energies ... -1.58 eV/atom
N(E_F) ... 9.7 states/eV/cell

3.
Entry from Alexandria: a geometry-optimized ScTlAg3 structure (GGA-PBE).

POSCAR file:
```
ScTlAg3
1.0
5.171 0.000 0.000
0.000 5.171 0.000
0.000 0.000 5.171
Sc Tl Ag
1 1 3
Cartesian
0.000 0.000 0.000
2.585 2.585 2.585
0.000 2.585 2.585
2.585 0.000 2.585
2.585 2.585 0.000
```

Results
Calculated volume ... 27.7 A^3/atom
Energy of formation ... 682 meV per atom
Total DFT energy (no corrections) ... -0.102 hartree per atom
Theoretical density ... 6.881 Mg/m³
Excess energy over the best structure of this formula in the dataset ... 21 meV/atom
N(E_F) ... 4.5 states/eV/cell

4.
Entry from Alexandria: a geometry-optimized Sr4LaPb5 structure (GGA-PBE).

POSCAR file:
```
Sr4LaPb5
1.0
3.744 0.000 0.000
0.000 3.744 0.000
0.000 0.000 24.055
Sr La Pb
4 1 5
Cartesian
0.000 0.000 2.436
0.000 0.000 7.255
0.000 0.000 16.800
0.000 0.000 21.619
0.000 0.000 12.028
1.872 1.872 0.000
1.872 1.872 4.858
1.872 1.872 9.698
1.872 1.872 14.357
1.872 1.872 19.197
```

Results
Calculated volume ... 33.7 A^3/atom
Energy of formation ... -526 meV per atom
Total DFT energy (no corrections) ... -0.130 hartree per atom
Theoretical density ... 7.510 Mg/m³
N(E_F) ... 7.0 states/eV/cell

5.
Entry from Alexandria: a geometry-optimized Nd3SmHo2Se6 structure (GGA-PBE).

POSCAR file:
```
Nd3SmHo2Se6
1.0
3.577 -6.226 0.000
3.577 6.226 0.000
-2.396 0.000 6.874
Nd Sm Ho Se
3 1 2 6
Cartesian
0.000 0.000 0.000
3.577 2.013 0.000
3.577 -2.013 0.000
2.379 0.000 3.437
2.379 4.158 3.437
2.379 -4.158 3.437
1.164 2.123 1.796
-0.061 0.000 5.050
1.164 -2.123 1.796
3.594 2.123 5.078
4.819 0.000 1.823
3.594 -2.123 5.078
```

Results
Calculated volume ... 25.5 A^3/atom
Total DFT energy (no corrections) ... -0.217 hartree per atom
Theoretical density ... 7.522 Mg/m³
Formation energy from raw total energies ... -1.80 eV/atom
N(E_F) ... 5.6 states/eV/cell

6.
Entry from Alexandria: a geometry-optimized TaSeBr2 structure (GGA-PBE).

POSCAR file:
```
TaSeBr2
1.0
9.577 0.000 0.000
0.000 9.577 0.000
0.000 0.000 4.969
Ta Se Br
4 4 8
Cartesian
0.000 0.000 0.000
0.000 4.789 1.242
4.789 0.000 3.726
4.789 4.789 2.484
0.000 0.000 2.484
0.000 4.789 3.726
4.789 0.000 1.242
4.789 4.789 0.000
1.060 2.394 0.621
2.394 5.849 1.863
2.394 8.517 4.348
3.728 2.394 3.105
5.849 7.183 3.105
7.183 1.060 4.348
7.183 3.728 1.863
8.517 7.183 0.621
```

Results
Calculated volume ... 28.5 A^3/atom
Total DFT energy (no corrections) ... -0.185 hartree per atom
Theoretical density ... 6.117 Mg/m³
Formation energy from raw total energies ... -0.35 eV/atom
Excess energy over the best structure of this formula in the dataset ... 326 meV/atom
N(E_F) ... 3.2 states/eV/cell

7.
Entry from Alexandria: a geometry-optimized Sm2Zn3Pd2 structure (GGA-PBE).

POSCAR file:
```
Sm2Zn3Pd2
1.0
9.906 0.000 0.000
0.000 4.309 0.000
-2.666 0.000 6.512
Sm Zn Pd
4 6 4
Cartesian
0.737 0.000 1.719
1.550 2.155 4.794
5.690 2.155 1.719
6.503 0.000 4.794
-1.333 2.155 3.256
-1.279 2.155 6.090
3.566 0.000 0.422
3.620 0.000 3.256
3.674 0.000 6.090
8.518 2.155 0.422
-0.509 0.000 4.590
2.796 2.155 1.922
4.444 2.155 4.590
7.749 0.000 1.922
```

Results
Calculated volume ... 19.9 A^3/atom
Energy of formation ... -625 meV per atom
Total DFT energy (no corrections) ... -0.147 hartree per atom
Theoretical density ... 8.480 Mg/m³
N(E_F) ... 7.7 states/eV/cell

8.
Entry from Alexandria: a geometry-optimized MgAlAg structure (GGA-PBE).

POSCAR file:
```
MgAlAg
1.0
2.194 1.267 7.654
-2.194 1.267 7.654
0.000 -2.533 7.654
Mg Al Ag
2 2 2
Cartesian
0.000 0.000 1.756
0.000 0.000 21.206
0.000 0.000 7.327
0.000 0.000 15.634
0.000 0.000 4.587
0.000 0.000 18.374
```

Results
Calculated volume ... 21.3 A^3/atom
Energy of formation ... 34 meV per atom
Total DFT energy (no corrections) ... -0.099 hartree per atom
Theoretical density ... 4.142 Mg/m³
N(E_F) ... 1.2 states/eV/cell